Entry from Alexandria: a relaxed structure of Pu2PaGa2 (GGA-PBE).

a = 4.8010 Å, b = 5.6950 Å, c = 8.7937 Å
α = 77.10°, β = 90.00°, γ = 65.07°
Fractional positions:
Pu (0.6369, 0.7262, 0.6086)
Pu (0.5678, 0.8644, 0.8570)
Pu (0.3631, 0.2738, 0.3914)
Pu (0.4322, 0.1356, 0.1430)
Pa (0.2559, 0.4883, 0.7320)
Pa (0.7441, 0.5117, 0.2680)
Ga (0.0628, 0.8744, 0.3742)
Ga (0.8730, 0.2541, 0.9246)
Ga (0.9372, 0.1256, 0.6258)
Ga (0.1270, 0.7459, 0.0754)

Properties
calculated total energy = -90.8 eV per cell
DOS(E_F) = 16.709 states/eV per cell
ΔE to the lowest computed polymorph = 0.00 eV/f.u.
space group = C2/m, No. 12
total moment = 0.00 μB per atom
energy of formation from the pure elements = -240 meV per atom

Entry from Alexandria: a relaxed structure of Ba3CdP (GGA-PBE).

a = 6.2531 Å, b = 6.2531 Å, c = 6.2531 Å
α = 90.00°, β = 90.00°, γ = 90.00°
Fractional positions:
P (0.0000, 0.0000, 0.0000)
Ba (0.0000, 0.5000, 0.0000)
Ba (0.0000, 0.0000, 0.5000)
Ba (0.5000, 0.0000, 0.0000)
Cd (0.5000, 0.5000, 0.5000)

Properties
calculated total energy = -14.4 eV per cell
DOS(E_F) = 6.548 states/eV per cell
ΔE to the lowest computed polymorph = 0.53 eV/f.u.
space group = Pm-3m, No. 221
total moment = 0.00 μB per atom
energy of formation from the pure elements = -471 meV per atom

Entry from Alexandria: a relaxed structure of Ac3DySb4 (GGA-PBE).

a = 8.1445 Å, b = 8.1405 Å, c = 9.4161 Å
α = 90.00°, β = 90.00°, γ = 109.52°
Fractional positions:
Sb (0.9913, 0.2426, 0.6334)
Sb (0.5007, 0.2336, 0.8836)
Sb (0.4913, 0.2426, 0.3666)
Sb (0.0007, 0.2336, 0.1164)
Sb (0.9993, 0.7664, 0.8836)
Sb (0.5087, 0.7574, 0.6334)
Sb (0.4993, 0.7664, 0.1164)
Sb (0.0087, 0.7574, 0.3666)
Ac (0.7500, 0.0000, 0.3730)
Ac (0.2500, 0.0000, 0.6270)
Ac (0.7500, 0.5000, 0.6277)
Ac (0.7500, 0.5000, 0.1235)
Ac (0.2500, 0.5000, 0.3723)
Ac (0.2500, 0.5000, 0.8765)
Dy (0.7500, 0.0000, 0.8770)
Dy (0.2500, 0.0000, 0.1230)

Properties
E_form (uncorrected) = -1.165 eV per atom
calculated total energy = -85.5 eV per cell
DOS(E_F) = 1.980 states/eV per cell
space group = P2/c, No. 13
total moment = 0.00 μB per atom

Entry from Alexandria: a relaxed structure of Pu2AuBr (GGA-PBE).

a = 4.1649 Å, b = 4.1649 Å, c = 7.9842 Å
α = 74.88°, β = 74.88°, γ = 60.00°
Fractional positions:
Au (0.0000, 0.0000, 0.0000)
Br (0.5000, 0.5000, 0.5000)
Pu (0.2570, 0.2570, 0.2290)
Pu (0.7430, 0.7430, 0.7710)

Properties
E_form (uncorrected) = -0.525 eV per atom
calculated total energy = -35.7 eV per cell
DOS(E_F) = 23.999 states/eV per cell
ΔE to the lowest computed polymorph = 0.21 eV/f.u.
space group = R-3m, No. 166
total moment = 3.00 μB per atom

Entry from Alexandria: a relaxed structure of Si2NiHg (GGA-PBE).

a = 5.9666 Å, b = 5.9666 Å, c = 5.9666 Å
α = 154.06°, β = 134.59°, γ = 53.04°
Fractional positions:
Hg (0.7500, 0.2500, 0.5000)
Ni (0.2500, 0.7500, 0.5000)
Si (0.0569, 0.0569, 0.0000)
Si (0.4431, 0.4431, 0.0000)

Properties
E_form (uncorrected) = 0.238 eV per atom
calculated total energy = -16.0 eV per cell
DOS(E_F) = 2.004 states/eV per cell
space group = Immm, No. 71
total moment = 0.00 μB per atom

Entry from Alexandria: a relaxed structure of Pr6NdDy2Tm3 (GGA-PBE).

a = 6.3044 Å, b = 6.3044 Å, c = 11.8847 Å
α = 95.06°, β = 95.06°, γ = 120.00°
Fractional positions:
Pr (0.9155, 0.5816, 0.7470)
Pr (0.7506, 0.7506, 0.2528)
Pr (0.0845, 0.4184, 0.2530)
Pr (0.5816, 0.9155, 0.7470)
Pr (0.2494, 0.2494, 0.7472)
Pr (0.4184, 0.0845, 0.2530)
Nd (0.0000, 0.0000, 0.0000)
Dy (0.3334, 0.6666, 0.0000)
Dy (0.6666, 0.3334, 0.0000)
Tm (0.1668, 0.8332, 0.5000)
Tm (0.8332, 0.1668, 0.5000)
Tm (0.5000, 0.5000, 0.5000)

Properties
calculated total energy = -55.9 eV per cell
DOS(E_F) = 13.193 states/eV per cell
space group = C2/m, No. 12
total moment = 0.00 μB per atom
energy of formation from the pure elements = 15 meV per atom

Entry from Alexandria: a relaxed structure of Nd4Tm5Cd (GGA-PBE).

a = 5.6977 Å, b = 8.0999 Å, c = 8.0999 Å
α = 82.89°, β = 69.41°, γ = 69.41°
Fractional positions:
Nd (0.4640, 0.3169, 0.6831)
Nd (0.7809, 0.6831, 0.6831)
Nd (0.1470, 0.3169, 0.3169)
Nd (0.4639, 0.6831, 0.3169)
Tm (0.7731, 0.3665, 0.0000)
Tm (0.1396, 0.0000, 0.6335)
Tm (0.7731, 0.0000, 0.3665)
Tm (0.1396, 0.6335, 0.0000)
Tm (0.6563, 0.0000, 0.0000)
Cd (0.1728, 0.0000, 0.0000)

Properties
calculated total energy = -41.3 eV per cell
DOS(E_F) = 13.800 states/eV per cell
ΔE to the lowest computed polymorph = 1.47 eV/f.u.
space group = I4mm, No. 107
total moment = 0.00 μB per atom
energy of formation from the pure elements = 102 meV per atom

Entry from Alexandria: a relaxed structure of Zr2CdB2 (GGA-PBE).

a = 6.5377 Å, b = 6.5377 Å, c = 3.4499 Å
α = 90.00°, β = 90.00°, γ = 90.00°
Fractional positions:
B (0.4070, 0.9070, 0.0000)
B (0.9070, 0.5930, 0.0000)
B (0.5930, 0.0930, 0.0000)
B (0.0930, 0.4070, 0.0000)
Zr (0.1786, 0.6786, 0.5000)
Zr (0.6786, 0.8214, 0.5000)
Zr (0.8214, 0.3214, 0.5000)
Zr (0.3214, 0.1786, 0.5000)
Cd (0.0000, 0.0000, 0.0000)
Cd (0.5000, 0.5000, 0.0000)

Properties
calculated total energy = -67.0 eV per cell
DOS(E_F) = 1.393 states/eV per cell
ΔE to the lowest computed polymorph = 0.00 eV/f.u.
space group = P4/mbm, No. 127
total moment = 0.00 μB per atom
energy of formation from the pure elements = -423 meV per atom

Q: What is the total moment in the sixth record?
A: 0.00 μB per atom

Please write out number 3 again, unchanged.
Entry from Alexandria: a relaxed structure of Ac3DySb4 (GGA-PBE).

a = 8.1445 Å, b = 8.1405 Å, c = 9.4161 Å
α = 90.00°, β = 90.00°, γ = 109.52°
Fractional positions:
Sb (0.9913, 0.2426, 0.6334)
Sb (0.5007, 0.2336, 0.8836)
Sb (0.4913, 0.2426, 0.3666)
Sb (0.0007, 0.2336, 0.1164)
Sb (0.9993, 0.7664, 0.8836)
Sb (0.5087, 0.7574, 0.6334)
Sb (0.4993, 0.7664, 0.1164)
Sb (0.0087, 0.7574, 0.3666)
Ac (0.7500, 0.0000, 0.3730)
Ac (0.2500, 0.0000, 0.6270)
Ac (0.7500, 0.5000, 0.6277)
Ac (0.7500, 0.5000, 0.1235)
Ac (0.2500, 0.5000, 0.3723)
Ac (0.2500, 0.5000, 0.8765)
Dy (0.7500, 0.0000, 0.8770)
Dy (0.2500, 0.0000, 0.1230)

Properties
E_form (uncorrected) = -1.165 eV per atom
calculated total energy = -85.5 eV per cell
DOS(E_F) = 1.980 states/eV per cell
space group = P2/c, No. 13
total moment = 0.00 μB per atom

Q: DOS(E_F) of number 3 (Ac3DySb4)?
A: 1.980 states/eV per cell

Q: total moment of number 7 (Nd4Tm5Cd)?
A: 0.00 μB per atom